1.
{
  "formula": "SrScPtSe3",
  "functional": "PBE",
  "state": "optimized geometry",
  "lattice": [[1.9527, -6.9921, 0.0000], [1.9527, 6.9921, 0.0000], [0.0000, 0.0000, 10.0905]],
  "species": ["Pt", "Pt", "Sc", "Sc", "Se", "Se", "Se", "Se", "Se", "Se", "Sr", "Sr"],
  "frac_coords": [[0.0280, 0.9720, 0.2500], [0.9720, 0.0280, 0.7500], [0.5000, 0.5000, 0.0000], [0.5000, 0.5000, 0.5000], [0.1388, 0.8612, 0.0490], [0.4166, 0.5834, 0.2500], [0.1388, 0.8612, 0.4510], [0.8612, 0.1388, 0.5490], [0.5834, 0.4166, 0.7500], [0.8612, 0.1388, 0.9510], [0.7376, 0.2624, 0.2500], [0.2624, 0.7376, 0.7500]],
  "sg": "No. 63",
  "final_energy_ev_per_atom": -5.4059
}

---

2.
{
  "formula": "Lu2Zr4In3N3",
  "functional": "PBE",
  "state": "optimized geometry",
  "lattice": [[5.0475, -2.9175, 0.0000], [5.0475, 2.9175, 0.0000], [-3.3585, 0.0000, 14.8561]],
  "species": ["In", "In", "In", "In", "In", "In", "Lu", "Lu", "Lu", "Lu", "N", "N", "N", "N", "N", "N", "Zr", "Zr", "Zr", "Zr", "Zr", "Zr", "Zr", "Zr"],
  "frac_coords": [[0.2232, 0.4182, 0.2496], [0.9396, 0.0604, 0.2500], [0.5818, 0.7768, 0.2504], [0.4182, 0.2232, 0.7496], [0.0604, 0.9396, 0.7500], [0.7768, 0.5818, 0.7504], [0.5294, 0.3654, 0.0880], [0.6346, 0.4706, 0.4120], [0.3654, 0.5294, 0.5880], [0.4706, 0.6346, 0.9120], [0.5000, 0.0000, 0.0000], [0.8314, 0.3344, 0.0000], [0.1686, 0.6656, 0.0000], [0.3344, 0.8314, 0.5000], [0.0000, 0.5000, 0.5000], [0.6656, 0.1686, 0.5000], [0.8581, 0.6935, 0.0800], [0.1948, 0.0251, 0.0800], [0.9749, 0.8052, 0.4200], [0.3065, 0.1419, 0.4200], [0.6935, 0.8581, 0.5800], [0.0251, 0.1948, 0.5800], [0.8052, 0.9749, 0.9200], [0.1419, 0.3065, 0.9200]],
  "sg": "No. 15",
  "final_energy_ev_per_atom": -7.4642
}

---

3.
{
  "formula": "KGdPb",
  "functional": "PBE",
  "state": "optimized geometry",
  "lattice": [[0.0000, 3.7455, 3.7455], [3.7455, 0.0000, 3.7455], [3.7455, 3.7455, 0.0000]],
  "species": ["Gd", "K", "Pb"],
  "frac_coords": [[0.5000, 0.5000, 0.5000], [0.2500, 0.2500, 0.2500], [0.0000, 0.0000, 0.0000]],
  "sg": "No. 216",
  "final_energy_ev_per_atom": -2.6166
}

---

4.
{
  "formula": "RePt2Pb",
  "functional": "PBE",
  "state": "optimized geometry",
  "lattice": [[-1.6305, -4.0921, 1.4056], [-2.8911, -0.2232, 3.6016], [-4.4484, -1.0697, -0.6690]],
  "species": ["Pb", "Pt", "Pt", "Re"],
  "frac_coords": [[0.5000, 0.5000, 0.5000], [0.0000, 0.0000, 0.0000], [0.7500, 0.7500, 0.7500], [0.2500, 0.2500, 0.2500]],
  "sg": "No. 216",
  "final_energy_ev_per_atom": -6.4930
}

---

5.
{
  "formula": "FeMoIrPb",
  "functional": "PBE",
  "state": "optimized geometry",
  "lattice": [[0.0000, 3.2018, 3.2018], [3.2018, 0.0000, 3.2018], [3.2018, 3.2018, 0.0000]],
  "species": ["Fe", "Ir", "Mo", "Pb"],
  "frac_coords": [[0.7500, 0.7500, 0.7500], [0.2500, 0.2500, 0.2500], [0.5000, 0.5000, 0.5000], [0.0000, 0.0000, 0.0000]],
  "sg": "No. 216",
  "polymorph_energy_mev_per_atom": 0
}

---

6.
{
  "formula": "Ho3Se3N",
  "functional": "PBE",
  "state": "optimized geometry",
  "lattice": [[5.7802, -5.0544, 0.0054], [-5.7802, -5.0544, -0.0054], [4.8510, 0.0000, -11.5531]],
  "species": ["Ho", "Ho", "Ho", "Ho", "Ho", "Ho", "Ho", "Ho", "Ho", "Ho", "Ho", "Ho", "N", "N", "N", "N", "Se", "Se", "Se", "Se", "Se", "Se", "Se", "Se", "Se", "Se", "Se", "Se"],
  "frac_coords": [[0.6081, 0.2482, 0.1129], [0.0213, 0.6605, 0.1175], [0.0629, 0.2120, 0.1227], [0.2120, 0.0629, 0.3773], [0.6605, 0.0213, 0.3825], [0.2482, 0.6081, 0.3871], [0.7518, 0.3919, 0.6129], [0.3395, 0.9787, 0.6175], [0.7880, 0.9371, 0.6227], [0.9371, 0.7880, 0.8773], [0.9787, 0.3395, 0.8825], [0.3919, 0.7518, 0.8871], [0.8902, 0.3753, 0.0760], [0.3753, 0.8902, 0.4240], [0.6247, 0.1098, 0.5760], [0.1098, 0.6247, 0.9240], [0.7804, 0.9257, 0.1267], [0.3075, 0.9588, 0.1281], [0.3350, 0.4964, 0.1402], [0.4964, 0.3350, 0.3598], [0.9588, 0.3075, 0.3719], [0.9257, 0.7804, 0.3733], [0.0743, 0.2196, 0.6267], [0.0412, 0.6925, 0.6281], [0.5036, 0.6650, 0.6402], [0.6650, 0.5036, 0.8598], [0.6925, 0.0412, 0.8719], [0.2196, 0.0743, 0.8733]],
  "sg": "No. 15",
  "final_energy_ev_per_atom": -6.5058
}

---

7.
{
  "formula": "Rb2Cd3S4",
  "functional": "PBE",
  "state": "optimized geometry",
  "lattice": [[-6.6385, -9.0472, -8.8444], [9.4125, -3.1276, -3.8656], [0.3191, -4.7534, 4.6229]],
  "species": ["Cd", "Cd", "Cd", "Cd", "Cd", "Cd", "Cd", "Cd", "Cd", "Cd", "Cd", "Cd", "Rb", "Rb", "Rb", "Rb", "Rb", "Rb", "Rb", "Rb", "S", "S", "S", "S", "S", "S", "S", "S", "S", "S", "S", "S", "S", "S", "S", "S"],
  "frac_coords": [[0.2471, 0.5927, 0.1855], [0.2471, 0.9073, 0.1855], [0.2063, 0.2500, 0.2473], [0.7063, 0.2500, 0.2527], [0.7471, 0.5927, 0.3145], [0.7471, 0.9073, 0.3145], [0.2529, 0.0927, 0.6855], [0.2529, 0.4073, 0.6855], [0.2937, 0.7500, 0.7473], [0.7937, 0.7500, 0.7527], [0.7529, 0.0927, 0.8145], [0.7529, 0.4073, 0.8145], [0.0000, 0.0000, 0.0000], [0.0000, 0.5000, 0.0000], [0.5344, 0.7500, 0.0239], [0.0344, 0.7500, 0.4761], [0.5000, 0.0000, 0.5000], [0.5000, 0.5000, 0.5000], [0.9656, 0.2500, 0.5239], [0.4656, 0.2500, 0.9761], [0.8569, 0.2500, 0.0394], [0.6384, 0.0366, 0.0987], [0.6384, 0.4634, 0.0987], [0.8487, 0.7500, 0.1107], [0.3487, 0.7500, 0.3893], [0.1384, 0.0366, 0.4013], [0.1384, 0.4634, 0.4013], [0.3569, 0.2500, 0.4606], [0.6431, 0.7500, 0.5394], [0.8616, 0.5366, 0.5987], [0.8616, 0.9634, 0.5987], [0.6513, 0.2500, 0.6107], [0.1513, 0.2500, 0.8893], [0.3616, 0.5366, 0.9013], [0.3616, 0.9634, 0.9013], [0.1431, 0.7500, 0.9606]],
  "sg": "No. 62",
  "final_energy_ev_per_atom": -3.1992
}

---

8.
{
  "formula": "ErScZn2Sn2",
  "functional": "PBE",
  "state": "optimized geometry",
  "lattice": [[4.4414, 0.0000, 0.0000], [-2.2207, 3.8464, 0.0000], [0.0000, 0.0000, 15.3496]],
  "species": ["Er", "Er", "Sc", "Sc", "Sn", "Sn", "Sn", "Sn", "Zn", "Zn", "Zn", "Zn"],
  "frac_coords": [[0.0000, 0.0000, 0.0000], [0.0000, 0.0000, 0.5000], [0.0000, 0.0000, 0.2500], [0.0000, 0.0000, 0.7500], [0.3333, 0.6667, 0.1153], [0.3333, 0.6667, 0.3847], [0.6667, 0.3333, 0.6153], [0.6667, 0.3333, 0.8847], [0.6667, 0.3333, 0.1638], [0.6667, 0.3333, 0.3362], [0.3333, 0.6667, 0.6638], [0.3333, 0.6667, 0.8362]],
  "sg": "No. 194",
  "polymorph_energy_mev_per_atom": 0
}

---

9.
{
  "formula": "KOs2",
  "functional": "PBE",
  "state": "optimized geometry",
  "lattice": [[5.4906, 0.0000, 0.0000], [-2.7453, 4.7550, 0.0000], [0.0000, 0.0000, 8.6115]],
  "species": ["K", "K", "K", "K", "Os", "Os", "Os", "Os", "Os", "Os", "Os", "Os"],
  "frac_coords": [[0.6667, 0.3333, 0.0670], [0.6667, 0.3333, 0.4330], [0.3333, 0.6667, 0.5670], [0.3333, 0.6667, 0.9330], [0.0000, 0.0000, 0.0000], [0.1726, 0.3452, 0.2500], [0.1726, 0.8274, 0.2500], [0.6548, 0.8274, 0.2500], [0.0000, 0.0000, 0.5000], [0.3452, 0.1726, 0.7500], [0.8274, 0.1726, 0.7500], [0.8274, 0.6548, 0.7500]],
  "sg": "No. 194",
  "polymorph_energy_mev_per_atom": 0
}

---

10.
{
  "formula": "PmNbB4",
  "functional": "PBE",
  "state": "optimized geometry",
  "lattice": [[4.6772, 0.7198, 1.2603], [-0.2673, 4.8179, 0.8360], [-1.6064, -4.2940, 1.7215]],
  "species": ["B", "B", "B", "B", "Nb", "Pm"],
  "frac_coords": [[0.5909, 0.2543, 0.3366], [0.0824, 0.7457, 0.3366], [0.9176, 0.2543, 0.6634], [0.4091, 0.7457, 0.6634], [0.0000, 0.0000, 0.0000], [0.5000, 0.5000, 0.0000]],
  "sg": "No. 71",
  "polymorph_energy_mev_per_atom": 150
}

---

- Number 3 is which compound?
  KGdPb

---

- What is the formula in the fourth record?
  RePt2Pb